# 1
Here is an optimized crystal structure of Cr2Mo from the Alexandria database. Energies are from GGA-PBEsol.

Output
**Distance to the lowest polymorph of the same formula**: 0.021 eV per atom
**Space-group type**: No. 227
**Spin magnetization**: 0.000 Bohr magnetons per cell

Cell: 4.7545 4.7545 4.7545 Å, 60.00 60.00 60.00°
Last column: nearest neighbours and their distance in Å.
Element x y z (fractional)
Cr1 0.1250 0.6250 0.1250  6 Cr 2.38
Mo1 0.7500 0.7500 0.7500  12 Cr 2.79, 4 Mo 2.91
Mo2 0.5000 0.5000 0.5000  12 Cr 2.79, 4 Mo 2.91
Cr2 0.6250 0.1250 0.1250  6 Cr 2.38
Cr3 0.1250 0.1250 0.1250  6 Cr 2.38
Cr4 0.1250 0.1250 0.6250  6 Cr 2.38

=====

# 2
Here is an optimized crystal structure of Cr3Mo from the Alexandria database. Energies are from GGA-PBEsol.

Output
**Space-group type**: No. 166
**Spin magnetization**: 0.000 Bohr magnetons per cell

Cell: 2.5394 4.8028 4.8028 Å, 116.96 100.15 100.15°
Last column: nearest neighbours and their distance in Å.
Element x y z (fractional)
Cr1 0.0000 0.0000 0.5000  6 Cr 2.51-2.54, 2 Mo 2.51
Cr2 0.5000 0.5000 0.5000  6 Cr 2.51-2.54, 2 Mo 2.51
Mo1 0.5000 0.0000 0.0000  6 Cr 2.51, 2 Mo 2.54
Cr3 0.0000 0.5000 0.0000  2 Mo 2.51, 6 Cr 2.51-2.54

=====

# 3
Here is an optimized crystal structure of Cr5Mo3 from the Alexandria database. Energies are from GGA-PBEsol.

Output
**Distance to the lowest polymorph of the same formula**: 0.000 eV per atom
**Space-group type**: No. 65
**Spin magnetization**: 0.002 Bohr magnetons per cell

Cell: 4.1588 5.1024 5.1024 Å, 109.50 90.00 90.00°
Last column: nearest neighbours and their distance in Å.
Element x y z (fractional)
Mo1 0.0000 0.5000 0.5000  8 Cr 2.55-2.56
Cr1 0.0000 0.5000 0.0000  6 Mo 2.55, 2 Cr 2.55
Mo2 0.5000 0.7534 0.2466  8 Cr 2.51-2.59
Cr2 0.0000 0.0000 0.5000  6 Mo 2.55, 2 Cr 2.55
Cr3 0.0000 0.0000 0.0000  8 Cr 2.53-2.55
Cr4 0.5000 0.2459 0.2459  6 Mo 2.51-2.59, 2 Cr 2.53
Mo3 0.5000 0.2466 0.7534  8 Cr 2.51-2.59
Cr5 0.5000 0.7541 0.7541  6 Mo 2.51-2.59, 2 Cr 2.53

=====

# 4
Here is an optimized crystal structure of Cr2Mo from the Alexandria database. Energies are from GGA-PBEsol.

Output
**Distance to the lowest polymorph of the same formula**: 0.000 eV per atom
**Space-group type**: No. 63
**Spin magnetization**: 0.000 Bohr magnetons per cell

Cell: 2.9346 4.1487 6.3742 Å, 90.00 103.31 90.00°
Last column: nearest neighbours and their distance in Å.
Element x y z (fractional)
Cr1 0.9121 0.2500 0.8243  2 Cr 2.47, 6 Mo 2.54-2.61
Cr2 0.2523 0.2500 0.5047  6 Cr 2.47-2.54, 2 Mo 2.53
Cr3 0.0879 0.7500 0.1757  2 Cr 2.47, 6 Mo 2.54-2.61
Mo1 0.5860 0.2500 0.1721  8 Cr 2.53-2.61
Cr4 0.7477 0.7500 0.4953  6 Cr 2.47-2.54, 2 Mo 2.53
Mo2 0.4140 0.7500 0.8279  8 Cr 2.53-2.61

=====

# 5
Here is an optimized crystal structure of CrMo from the Alexandria database. Energies are from GGA-PBEsol.

Output
**Space-group type**: No. 12
**Spin magnetization**: 0.000 Bohr magnetons per cell

Cell: 2.9938 4.9472 5.9783 Å, 107.85 90.00 107.61°
Last column: nearest neighbours and their distance in Å.
Element x y z (fractional)
Mo1 0.1644 0.3288 0.8195  4 Cr 2.53-2.57, 4 Mo 2.62-2.70
Mo2 0.5000 0.0000 0.0000  4 Mo 2.62, 4 Cr 2.63
Mo3 0.8356 0.6712 0.1805  4 Cr 2.53-2.57, 4 Mo 2.62-2.70
Cr1 0.1699 0.3399 0.3429  4 Cr 2.49-2.58, 4 Mo 2.57-2.63
Cr2 0.5000 0.0000 0.5000  4 Mo 2.53, 4 Cr 2.58
Cr3 0.8301 0.6601 0.6571  4 Cr 2.49-2.58, 4 Mo 2.57-2.63

=====

# 6
Here is an optimized crystal structure of Cr4Mo from the Alexandria database. Energies are from GGA-PBEsol.

Output
**Distance to the lowest polymorph of the same formula**: 0.623 eV per atom
**Space-group type**: No. 139
**Spin magnetization**: 0.003 Bohr magnetons per cell

Cell: 3.6718 3.6718 5.4574 Å, 109.66 109.66 90.00°
Last column: nearest neighbours and their distance in Å.
Element x y z (fractional)
Cr1 0.3859 0.3859 0.7718  5 Cr 2.19-2.25
Mo1 0.0000 0.0000 0.0000  16 Cr 2.82-3.02
Cr2 0.7500 0.2500 0.5000  4 Cr 2.25
Cr3 0.6141 0.6141 0.2282  5 Cr 2.19-2.25
Cr4 0.2500 0.7500 0.5000  4 Cr 2.25

=====

# 7
Here is an optimized crystal structure of Cr3Mo from the Alexandria database. Energies are from GGA-PBEsol.

Output
**Space-group type**: No. 221
**Spin magnetization**: 0.004 Bohr magnetons per cell

Cell: 3.6840 3.6840 3.6840 Å, 90.00 90.00 90.00°
Last column: nearest neighbours and their distance in Å.
Element x y z (fractional)
Cr1 0.0000 0.0000 0.5000  4 Mo 2.60, 8 Cr 2.60
Cr2 0.5000 0.0000 0.0000  4 Mo 2.60, 8 Cr 2.60
Cr3 0.0000 0.5000 0.0000  4 Mo 2.60, 8 Cr 2.60
Mo1 0.5000 0.5000 0.5000  12 Cr 2.60

=====

# 8
Here is an optimized crystal structure of CrMo5 from the Alexandria database. Energies are from GGA-PBEsol.

Output
**Space-group type**: No. 12
**Spin magnetization**: 0.001 Bohr magnetons per cell

Cell: 3.0883 5.1047 6.1686 Å, 107.58 90.00 107.61°
Last column: nearest neighbours and their distance in Å.
Element x y z (fractional)
Mo1 0.3363 0.6725 0.6726  2 Cr 2.64, 6 Mo 2.67-2.73
Mo2 0.3344 0.6687 0.1632  2 Cr 2.65, 6 Mo 2.65-2.69
Mo3 0.6637 0.3275 0.3274  2 Cr 2.64, 6 Mo 2.67-2.73
Cr1 0.0000 0.0000 0.0000  8 Mo 2.64-2.65
Mo4 0.0000 0.0000 0.5000  8 Mo 2.67-2.68
Mo5 0.6656 0.3313 0.8368  2 Cr 2.65, 6 Mo 2.65-2.69

=====

# 9
Here is an optimized crystal structure of Cr3Mo4 from the Alexandria database. Energies are from GGA-PBEsol.

Output
**Distance to the lowest polymorph of the same formula**: 0.005 eV per atom
**Space-group type**: No. 191
**Spin magnetization**: 0.000 Bohr magnetons per cell

Cell: 4.7701 4.7701 4.8680 Å, 90.00 90.00 120.00°
Last column: nearest neighbours and their distance in Å.
Element x y z (fractional)
Mo1 0.6667 0.3333 0.5000  9 Mo 2.75-3.01, 6 Cr 2.80
Mo2 0.0000 0.0000 0.7476  2 Mo 2.41-2.46, 6 Cr 2.68
Cr1 0.5000 0.5000 0.0000  4 Cr 2.39
Cr2 0.5000 0.0000 0.0000  4 Cr 2.39
Mo3 0.3333 0.6667 0.5000  9 Mo 2.75-3.01, 6 Cr 2.80
Mo4 0.0000 0.0000 0.2524  2 Mo 2.41-2.46, 6 Cr 2.68
Cr3 0.0000 0.5000 0.0000  4 Cr 2.39

=====

# 10
Here is an optimized crystal structure of Cr7Mo from the Alexandria database. Energies are from GGA-PBEsol.

Output
**Space-group type**: No. 166
**Spin magnetization**: 0.001 Bohr magnetons per cell

Cell: 5.7187 5.7187 5.7187 Å, 89.88 89.88 89.88°
Last column: nearest neighbours and their distance in Å.
Element x y z (fractional)
Mo1 0.8713 0.8713 0.8713  7 Cr 2.48-2.51, 1 Mo 2.55
Cr1 0.6218 0.1284 0.6218  7 Cr 2.43-2.48, 1 Mo 2.49
Cr2 0.8716 0.3782 0.3782  7 Cr 2.43-2.48, 1 Mo 2.49
Cr3 0.8717 0.3767 0.8717  7 Cr 2.46-2.51, 1 Mo 2.51
Cr4 0.3783 0.3783 0.3783  7 Cr 2.42-2.46, 1 Mo 2.48
Cr5 0.6218 0.6218 0.1284  7 Cr 2.43-2.48, 1 Mo 2.49
Cr6 0.3782 0.8716 0.3782  7 Cr 2.43-2.48, 1 Mo 2.49
Cr7 0.8717 0.8717 0.3767  7 Cr 2.46-2.51, 1 Mo 2.51
Cr8 0.1284 0.6218 0.6218  7 Cr 2.43-2.48, 1 Mo 2.49
Cr9 0.3782 0.3782 0.8716  7 Cr 2.43-2.48, 1 Mo 2.49
Mo2 0.1287 0.1287 0.1287  7 Cr 2.48-2.51, 1 Mo 2.55
Cr10 0.6233 0.1283 0.1283  7 Cr 2.46-2.51, 1 Mo 2.51
Cr11 0.6217 0.6217 0.6217  7 Cr 2.42-2.46, 1 Mo 2.48
Cr12 0.3767 0.8717 0.8717  7 Cr 2.46-2.51, 1 Mo 2.51
Cr13 0.1283 0.6233 0.1283  7 Cr 2.46-2.51, 1 Mo 2.51
Cr14 0.1283 0.1283 0.6233  7 Cr 2.46-2.51, 1 Mo 2.51

=====

# 11
Here is an optimized crystal structure of Cr3Mo from the Alexandria database. Energies are from GGA-PBEsol.

Output
**Space-group type**: No. 166
**Spin magnetization**: 0.001 Bohr magnetons per cell

Cell: 2.7234 2.7234 7.9759 Å, 80.17 80.17 60.00°
Last column: nearest neighbours and their distance in Å.
Element x y z (fractional)
Mo1 0.5000 0.5000 0.5000  6 Cr 2.65, 6 Mo 2.72
Cr1 0.7425 0.7425 0.7725  3 Cr 2.37, 3 Mo 2.65
Cr2 0.0000 0.0000 0.0000  6 Cr 2.37
Cr3 0.2575 0.2575 0.2275  3 Cr 2.37, 3 Mo 2.65

=====

# 12
Here is an optimized crystal structure of Cr3Mo from the Alexandria database. Energies are from GGA-PBEsol.

Output
**Space-group type**: No. 123
**Spin magnetization**: 0.089 Bohr magnetons per cell

Cell: 2.9137 4.1044 4.1044 Å, 90.00 90.00 90.00°
Last column: nearest neighbours and their distance in Å.
Element x y z (fractional)
Cr1 0.0000 0.0000 0.0000  8 Cr 2.52
Mo1 0.0000 0.5000 0.5000  8 Cr 2.52
Cr2 0.5000 0.5000 0.0000  4 Cr 2.52, 4 Mo 2.52
Cr3 0.5000 0.0000 0.5000  4 Cr 2.52, 4 Mo 2.52

=====

Record-wise E_form values, in meV/atom: 99; 96; 77; 78; 101; 691; 460; 51; 96; 54; 417; 78